# Li3Mn4O8, relaxed, DFT GGA+U
# Excess energy over the best structure of this formula in the dataset ... 0.0 meV/atom
# M_tot ... 15.00 μB/f.u.
data_Li3Mn4O8
_symmetry_space_group_name_H-M 'C 1 2/m 1'
_symmetry_Int_Tables_number 12
_symmetry_space_group_name_Hall '-C 2y'
_cell_length_a 10.574
_cell_length_b 5.774
_cell_length_c 5.951
_cell_angle_alpha 90.00
_cell_angle_beta 122.99
_cell_angle_gamma 90.00
loop_
_atom_site_label
_atom_site_type_symbol
_atom_site_fract_x
_atom_site_fract_y
_atom_site_fract_z
Li1 Li 0.000 0.000 0.000
Li2 Li 0.250 0.250 0.500
Mn1 Mn 0.000 0.000 0.500
Mn2 Mn 0.000 0.500 0.500
Mn3 Mn 0.250 0.250 0.000
O1 O 0.007 0.245 0.287
O2 O 0.221 0.000 0.741
O3 O 0.243 0.000 0.213